# Y2Er3ThSe6 PBE optimized geometry
# SG: C2/m, No. 12
# Total energy (eV per atom): -6.26
# Formation energy without anion corrections (meV/atom): -1684
# M_tot (μB per atom): 0.00
data_Y2Er3ThSe6
_cell_length_a 4.0630
_cell_length_b 8.2184
_cell_length_c 9.1649
_cell_angle_alpha 103.56
_cell_angle_beta 102.81
_cell_angle_gamma 90.00
_space_group_name_H-M_alt 'P 1'
_space_group_IT_number 1
loop_
_space_group_symop_operation_xyz
'x,y,z'
loop_
_atom_site_label
_atom_site_fract_x
_atom_site_fract_y
_atom_site_fract_z
_atom_site_occupancy
Se1 0.6680 0.5858 0.3360 1
Se2 0.0011 0.7368 0.0023 1
Se3 0.9989 0.2632 0.9977 1
Se4 0.3268 0.9176 0.6537 1
Se5 0.3320 0.4142 0.6640 1
Se6 0.6732 0.0824 0.3463 1
Th1 0.5000 0.0000 0.0000 1
Er1 0.5000 0.5000 0.0000 1
Er2 0.1623 0.8336 0.3247 1
Er3 0.8377 0.1664 0.6753 1
Y1 0.8381 0.6744 0.6762 1
Y2 0.1619 0.3256 0.3238 1

---

# La3TmGe4 PBE optimized geometry
# SG: Immm, No. 71
# Total energy (eV per atom): -5.42
# Formation energy (meV/atom): -707
# M_tot (μB per atom): 0.01
data_La3TmGe4
_cell_length_a 4.3341
_cell_length_b 6.4114
_cell_length_c 9.1323
_cell_angle_alpha 110.55
_cell_angle_beta 103.73
_cell_angle_gamma 90.00
_space_group_name_H-M_alt 'P 1'
_space_group_IT_number 1
loop_
_space_group_symop_operation_xyz
'x,y,z'
loop_
_atom_site_label
_atom_site_fract_x
_atom_site_fract_y
_atom_site_fract_z
_atom_site_occupancy
Ge1 0.6274 0.8219 0.2547 1
Ge2 0.3726 0.5671 0.7451 1
Ge3 0.3726 0.1781 0.7453 1
Ge4 0.6274 0.4329 0.2549 1
La1 0.0000 0.5000 0.0000 1
La2 0.1965 0.1964 0.3930 1
La3 0.8035 0.8036 0.6070 1
Tm1 0.5000 0.0000 0.0000 1

---

# DyAl2Zn4 PBE optimized geometry
# SG: Cmmm, No. 65
# Total energy (eV per atom): -2.66
# Formation energy (meV/atom): -210
# M_tot (μB per atom): 0.00
data_DyAl2Zn4
_cell_length_a 4.1127
_cell_length_b 4.1116
_cell_length_c 7.5914
_cell_angle_alpha 105.71
_cell_angle_beta 90.00
_cell_angle_gamma 90.00
_space_group_name_H-M_alt 'P 1'
_space_group_IT_number 1
loop_
_space_group_symop_operation_xyz
'x,y,z'
loop_
_atom_site_label
_atom_site_fract_x
_atom_site_fract_y
_atom_site_fract_z
_atom_site_occupancy
Zn1 0.0000 0.3103 0.6205 1
Zn2 0.5000 0.8115 0.6230 1
Zn3 0.5000 0.1885 0.3770 1
Zn4 0.0000 0.6897 0.3795 1
Al1 0.5000 0.5855 0.1710 1
Al2 0.5000 0.4145 0.8290 1
Dy1 0.0000 0.0000 0.0000 1

---

# BaZrCu3 PBE optimized geometry
# SG: Pm-3m, No. 221
# Total energy (eV per atom): -4.05
# Formation energy (meV/atom): 500
# M_tot (μB per atom): 0.00
data_BaZrCu3
_cell_length_a 5.1104
_cell_length_b 5.1104
_cell_length_c 5.1104
_cell_angle_alpha 90.00
_cell_angle_beta 90.00
_cell_angle_gamma 90.00
_space_group_name_H-M_alt 'P 1'
_space_group_IT_number 1
loop_
_space_group_symop_operation_xyz
'x,y,z'
loop_
_atom_site_label
_atom_site_fract_x
_atom_site_fract_y
_atom_site_fract_z
_atom_site_occupancy
Ba1 0.5000 0.5000 0.5000 1
Cu1 0.0000 0.5000 0.0000 1
Cu2 0.0000 0.0000 0.5000 1
Cu3 0.5000 0.0000 0.0000 1
Zr1 0.0000 0.0000 0.0000 1

---

# AcTiAu2 PBE optimized geometry
# SG: P4/mmm, No. 123
# Total energy (eV per atom): -5.05
# Formation energy (meV/atom): -410
# M_tot (μB per atom): 0.21
data_AcTiAu2
_cell_length_a 3.4925
_cell_length_b 3.4925
_cell_length_c 7.4984
_cell_angle_alpha 90.00
_cell_angle_beta 90.00
_cell_angle_gamma 90.00
_space_group_name_H-M_alt 'P 1'
_space_group_IT_number 1
loop_
_space_group_symop_operation_xyz
'x,y,z'
loop_
_atom_site_label
_atom_site_fract_x
_atom_site_fract_y
_atom_site_fract_z
_atom_site_occupancy
Ac1 0.5000 0.5000 0.5000 1
Au1 0.0000 0.0000 0.8063 1
Au2 0.0000 0.0000 0.1937 1
Ti1 0.5000 0.5000 0.0000 1

---

# SbPOs2 PBE optimized geometry
# SG: P4mm, No. 99
# Total energy (eV per atom): -7.73
# Formation energy without anion corrections (meV/atom): 272
# M_tot (μB per atom): 0.00
data_SbPOs2
_cell_length_a 2.9589
_cell_length_b 2.9589
_cell_length_c 8.0412
_cell_angle_alpha 90.00
_cell_angle_beta 90.00
_cell_angle_gamma 90.00
_space_group_name_H-M_alt 'P 1'
_space_group_IT_number 1
loop_
_space_group_symop_operation_xyz
'x,y,z'
loop_
_atom_site_label
_atom_site_fract_x
_atom_site_fract_y
_atom_site_fract_z
_atom_site_occupancy
P1 0.0000 0.0000 0.4222 1
Os1 0.0000 0.0000 0.0226 1
Os2 0.5000 0.5000 0.2589 1
Sb1 0.5000 0.5000 0.7963 1

---

# CrMo2Os PBE optimized geometry
# SG: Cmmm, No. 65
# Total energy (eV per atom): -10.39
# Formation energy (meV/atom): 243
# M_tot (μB per atom): 0.21
data_CrMo2Os
_cell_length_a 4.6890
_cell_length_b 4.6890
_cell_length_c 2.8077
_cell_angle_alpha 90.00
_cell_angle_beta 90.00
_cell_angle_gamma 107.60
_space_group_name_H-M_alt 'P 1'
_space_group_IT_number 1
loop_
_space_group_symop_operation_xyz
'x,y,z'
loop_
_atom_site_label
_atom_site_fract_x
_atom_site_fract_y
_atom_site_fract_z
_atom_site_occupancy
Mo1 0.5000 0.5000 0.0000 1
Mo2 0.0000 0.0000 0.0000 1
Os1 0.5000 0.0000 0.5000 1
Cr1 0.0000 0.5000 0.5000 1

---

# LiGa2Hg2 PBE optimized geometry
# SG: P4/mbm, No. 127
# Total energy (eV per atom): -1.75
# Formation energy (meV/atom): -33
# M_tot (μB per atom): 0.00
data_LiGa2Hg2
_cell_length_a 7.5871
_cell_length_b 7.5871
_cell_length_c 3.8552
_cell_angle_alpha 90.00
_cell_angle_beta 90.00
_cell_angle_gamma 90.00
_space_group_name_H-M_alt 'P 1'
_space_group_IT_number 1
loop_
_space_group_symop_operation_xyz
'x,y,z'
loop_
_atom_site_label
_atom_site_fract_x
_atom_site_fract_y
_atom_site_fract_z
_atom_site_occupancy
Ga1 0.3503 0.1497 0.5000 1
Ga2 0.1497 0.6497 0.5000 1
Ga3 0.6497 0.8503 0.5000 1
Ga4 0.8503 0.3503 0.5000 1
Hg1 0.1553 0.3447 0.0000 1
Hg2 0.3447 0.8447 0.0000 1
Hg3 0.8447 0.6553 0.0000 1
Hg4 0.6553 0.1553 0.0000 1
Li1 0.0000 0.0000 0.0000 1
Li2 0.5000 0.5000 0.0000 1

---

# GdCdHgGe PBE optimized geometry
# SG: F-43m, No. 216
# Total energy (eV per atom): -5.29
# Formation energy (meV/atom): -306
# M_tot (μB per atom): 1.70
data_GdCdHgGe
_cell_length_a 5.0864
_cell_length_b 5.0864
_cell_length_c 5.0864
_cell_angle_alpha 60.00
_cell_angle_beta 60.00
_cell_angle_gamma 60.00
_space_group_name_H-M_alt 'P 1'
_space_group_IT_number 1
loop_
_space_group_symop_operation_xyz
'x,y,z'
loop_
_atom_site_label
_atom_site_fract_x
_atom_site_fract_y
_atom_site_fract_z
_atom_site_occupancy
Hg1 0.7500 0.7500 0.7500 1
Ge1 0.2500 0.2500 0.2500 1
Cd1 0.0000 0.0000 0.0000 1
Gd1 0.5000 0.5000 0.5000 1

---

# Pd4Br PBE optimized geometry
# SG: Pm-3m, No. 221
# Total energy (eV per atom): -3.80
# Formation energy without anion corrections (meV/atom): 685
# M_tot (μB per atom): 0.00
data_Pd4Br
_cell_length_a 4.6854
_cell_length_b 4.6854
_cell_length_c 4.6854
_cell_angle_alpha 90.00
_cell_angle_beta 90.00
_cell_angle_gamma 90.00
_space_group_name_H-M_alt 'P 1'
_space_group_IT_number 1
loop_
_space_group_symop_operation_xyz
'x,y,z'
loop_
_atom_site_label
_atom_site_fract_x
_atom_site_fract_y
_atom_site_fract_z
_atom_site_occupancy
Pd1 0.5000 0.0000 0.5000 1
Pd2 0.0000 0.0000 0.0000 1
Pd3 0.5000 0.5000 0.0000 1
Pd4 0.0000 0.5000 0.5000 1
Br1 0.5000 0.5000 0.5000 1

---

# SrZnP2S PBE optimized geometry
# SG: P4/mmm, No. 123
# Total energy (eV per atom): -3.69
# Formation energy without anion corrections (meV/atom): -107
# M_tot (μB per atom): 0.00
data_SrZnP2S
_cell_length_a 4.6237
_cell_length_b 4.6237
_cell_length_c 5.2080
_cell_angle_alpha 90.00
_cell_angle_beta 90.00
_cell_angle_gamma 90.00
_space_group_name_H-M_alt 'P 1'
_space_group_IT_number 1
loop_
_space_group_symop_operation_xyz
'x,y,z'
loop_
_atom_site_label
_atom_site_fract_x
_atom_site_fract_y
_atom_site_fract_z
_atom_site_occupancy
Zn1 0.0000 0.0000 0.0000 1
S1 0.0000 0.0000 0.5000 1
P1 0.0000 0.5000 0.0000 1
P2 0.5000 0.0000 0.0000 1
Sr1 0.5000 0.5000 0.5000 1

---

# Hf2MgPb PBE optimized geometry
# SG: P2_1/m, No. 11
# Total energy (eV per atom): -6.39
# Formation energy (meV/atom): -89
# M_tot (μB per atom): 0.00
data_Hf2MgPb
_cell_length_a 4.4381
_cell_length_b 4.4178
_cell_length_c 10.1394
_cell_angle_alpha 102.51
_cell_angle_beta 90.00
_cell_angle_gamma 90.00
_space_group_name_H-M_alt 'P 1'
_space_group_IT_number 1
loop_
_space_group_symop_operation_xyz
'x,y,z'
loop_
_atom_site_label
_atom_site_fract_x
_atom_site_fract_y
_atom_site_fract_z
_atom_site_occupancy
Hf1 0.2500 0.5536 0.1079 1
Hf2 0.2500 0.9465 0.8922 1
Hf3 0.7500 0.4464 0.8921 1
Hf4 0.7500 0.0535 0.1078 1
Mg1 0.2500 0.3220 0.6408 1
Mg2 0.7500 0.6780 0.3592 1
Pb1 0.7500 0.8305 0.6581 1
Pb2 0.2500 0.1695 0.3419 1

---

# CdGaClO2 PBE optimized geometry
# SG: P2_1/m, No. 11
# Total energy (eV per atom): -4.47
# Formation energy without anion corrections (meV/atom): -1330
# M_tot (μB per atom): 0.00
data_CdGaClO2
_cell_length_a 3.9072
_cell_length_b 6.3792
_cell_length_c 7.6184
_cell_angle_alpha 98.45
_cell_angle_beta 90.00
_cell_angle_gamma 90.00
_space_group_name_H-M_alt 'P 1'
_space_group_IT_number 1
loop_
_space_group_symop_operation_xyz
'x,y,z'
loop_
_atom_site_label
_atom_site_fract_x
_atom_site_fract_y
_atom_site_fract_z
_atom_site_occupancy
Cd1 0.2500 0.7850 0.4101 1
Cd2 0.7500 0.2150 0.5899 1
O1 0.7500 0.0077 0.8928 1
O2 0.2500 0.9923 0.1072 1
O3 0.7500 0.9053 0.3536 1
O4 0.2500 0.0947 0.6464 1
Cl1 0.7500 0.3941 0.2938 1
Cl2 0.2500 0.6059 0.7062 1
Ga1 0.7500 0.0318 0.1459 1
Ga2 0.2500 0.9682 0.8541 1